Computed, not measured: a relaxed Mg6HIr crystal at the PBE level of DFT.

Calculated values
The value obtained for the calculated volume is 19.22 Å³/atom. As for the density of states at the Fermi level: 0.2980 states/eV/atom. The value obtained for the calculated total energy is -2.8974 eV per atom. The total magnetic moment comes out at 0.00 μB per formula unit.

Cell lengths 4.6325, 7.8971, 4.6327 Å; angles 107.47, 88.78, 107.48 degrees
With the nearest neighbours (Å) after each atom.
Fractional coordinates of all 8 atoms:
Mg1 0.4900 0.8158 0.8792  11 Mg 3.01-3.36
Mg2 0.1711 0.1454 0.0481  1 H 2.24
Mg3 0.6487 0.1456 0.5246  1 H 2.25
Mg4 0.3723 0.5436 0.2483  1 H 2.25
Mg5 0.8491 0.5439 0.7261  1 H 2.25
Mg6 0.0174 0.8733 0.4071  11 Mg 3.01-3.36
H1 0.9876 0.3444 0.9091  1 Ir 1.67
Ir1 0.2453 0.3446 0.6517  1 H 1.67